# 1
A plane-wave DFT calculation with PBE with a Hubbard U was carried out for crystalline BaCoAgO3 at its relaxed geometry.

Cell: 6.3154 6.3154 6.8370 Å, 66.86 66.86 57.59°
Last column: nearest neighbours and their distance in Å.
Fractional coordinates of all 12 atoms:
Ba 0.7025 0.7025 0.8139  5 O 2.68-2.97
Ba 0.2975 0.2975 0.1861  5 O 2.68-2.97
Co 0.0381 0.0381 0.7938  3 O 1.73-1.84
Co 0.9619 0.9619 0.2062  3 O 1.73-1.84
Ag 0.2758 0.7242 0.5000  2 O 2.09
Ag 0.7242 0.2758 0.5000  2 O 2.09
O 0.2126 0.2126 0.6561  1 Co 1.73
O 0.1707 0.6875 0.8375  1 Co 1.84
O 0.6875 0.1707 0.8375  1 Co 1.84
O 0.3125 0.8293 0.1625  1 Co 1.84
O 0.8293 0.3125 0.1625  1 Co 1.84
O 0.7874 0.7874 0.3439  1 Co 1.73

Summary:
Its total energy is -5.32 eV per atom. As for the total magnetic moment: 6.36 Bohr magnetons per cell. The space group is C2/m (12).



# 2
A plane-wave DFT calculation with PBE with a Hubbard U was carried out for crystalline Ba2CoAg2Se2O2 at its relaxed geometry.

Cell: 11.0713 11.0713 11.0713 Å, 158.29 158.29 30.90°
Last column: nearest neighbours and their distance in Å.
Fractional coordinates of all 9 atoms:
Ba 0.5880 0.5880 0.0000  4 O 2.81
Ba 0.4120 0.4120 0.0000  4 O 2.81
Co 0.0000 0.0000 0.0000  4 O 2.09
Ag 0.2500 0.7500 0.5000  4 Se 2.79, 4 Ag 2.95
Ag 0.7500 0.2500 0.5000  4 Se 2.79, 4 Ag 2.95
Se 0.8367 0.8367 0.0000  4 Ag 2.79
Se 0.1633 0.1633 0.0000  4 Ag 2.79
O 0.5000 0.0000 0.5000  2 Co 2.09
O 0.0000 0.5000 0.5000  2 Co 2.09

Summary:
Its total energy is -4.72 eV per atom. As for the total magnetic moment: 2.95 Bohr magnetons per cell. The space group is I4/mmm (139).



Q: Which value of total magnetic moment does entry 2 give?
A: 2.95 Bohr magnetons per cell



Q: Which formula does entry 1 have?
A: BaCoAgO3